1.
First-principles (GGA+U) data for Mn3Cu3O8 after structural relaxation, as listed in Alexandria via LeMat-Bulk.

The structure in POSCAR format:
```
Mn3Cu3O8
1.0
-6.8781 -4.7676 -1.0758
4.0703 -4.5594 -5.8173
2.7057 -5.2610 6.0165
O Cu Mn
32 12 12
Cartesian
-1.0024 -7.8522 0.8115
1.0526 -2.9314 -1.7303
-0.6900 -7.6899 -1.9262
-2.8417 -5.5714 0.7015
0.8777 -10.3829 -1.9050
0.4669 -5.3558 -3.2718
-0.3001 -7.5611 -5.1397
-5.0163 -5.4273 -0.8379
-2.4842 -5.3760 -1.9355
-1.6561 -10.4309 -0.8112
-0.0882 -12.5892 -0.7565
2.0081 -5.7809 4.2273
1.5288 -7.8039 -0.2882
-2.1519 -10.6418 2.0669
4.1179 -8.0001 1.6493
0.7854 -3.1249 1.5209
-1.9015 -2.9946 -0.3345
4.5389 -7.8497 -1.5594
2.2586 -5.6596 1.5736
1.3560 -7.9367 2.6317
-0.0396 -5.6458 -0.3393
2.5783 -5.4291 -1.6420
2.8928 -5.2699 -4.3796
1.9279 -7.5883 -3.2338
-3.4466 -7.6973 -0.7933
-1.4120 -8.1445 4.0404
3.3051 -10.5448 -0.1836
-0.2094 -5.6637 2.5879
-3.2926 -7.6540 -3.9020
-3.9826 -7.9690 2.0765
0.5588 -10.5451 0.8319
-1.3738 -10.2962 -3.7751
-0.0639 -9.1175 -0.5479
-1.4410 -8.3182 -3.6506
3.7163 -6.5583 -2.9684
-3.4786 -9.6701 -0.9913
-0.0254 -3.6265 -0.2179
1.9918 -9.5680 -3.3288
-4.1538 -6.5391 -2.3707
1.2826 -9.9174 2.5681
3.3547 -8.5629 -0.1377
-0.0001 -0.0205 -0.0012
0.2969 -6.9611 4.1338
-2.0926 -8.6684 2.2530
1.6326 -11.5665 -0.5011
1.3334 -4.4541 2.9016
0.9834 -6.6163 -1.7829
-0.7700 -11.4433 -2.2713
3.0332 -6.9095 2.9557
-1.1053 -11.6190 0.6915
-4.5008 -6.7142 0.5834
1.3271 -6.4348 -4.7444
-3.4510 -4.2069 -0.6547
-1.7596 -6.6681 -0.6019
2.0282 -4.1035 -3.0139
0.6355 -6.7919 1.1784
```

Summary:
total magnetization: 32.0 μB per cell
SG: No. 212
energy: -6.41 eV/atom



2.
First-principles (GGA+U) data for Mn4CuO6 after structural relaxation, as listed in Alexandria via LeMat-Bulk.

The structure in POSCAR format:
```
Mn4CuO6
1.0
-2.4395 0.1407 4.9495
0.5864 -4.4173 3.4925
6.3893 4.2387 6.1065
O Mn Cu
12 8 2
Cartesian
3.3337 1.5837 6.9626
1.5217 1.2460 4.9201
-0.1949 -2.7081 6.9280
1.9325 -0.5692 7.7895
1.0540 -1.4128 4.4528
5.9033 1.1052 7.9063
-1.6333 -1.2616 4.7722
2.1621 3.0186 9.3984
5.3610 3.7284 8.0271
-0.4404 0.4949 6.9498
1.3676 -1.3228 10.5598
3.8599 0.3587 10.1009
3.3249 -1.4999 8.9695
1.7760 -2.2220 6.3393
4.0790 2.1405 8.8604
4.7525 0.0064 6.6732
-0.1817 0.1791 4.8081
5.1175 1.0300 11.4909
1.4428 1.1301 7.0706
0.7345 -1.4623 2.3492
0.3851 -0.7145 8.9216
5.3121 3.4967 6.1189
```

Summary:
total magnetization: 34.0 μB per cell
SG: No. 9
energy: -7.10 eV/atom